Entry 1:
Crystalline SrHoAgTe3 at its relaxed geometry, computed with GGA-PBE.

Structure (CIF):
```
data_SrHoAgTe3
_chemical_formula_sum 'Sr2 Ho2 Ag2 Te6'
_cell_length_a 8.927
_cell_length_b 4.419
_cell_length_c 10.039
_cell_angle_alpha 90.00
_cell_angle_beta 104.14
_cell_angle_gamma 90.00
_symmetry_space_group_name_H-M 'P 1 21/m 1'
_symmetry_Int_Tables_number 11
loop_
_symmetry_equiv_pos_as_xyz
'x,y,z'
'-x,-y,-z'
'-x,y+1/2,-z'
'x,-y+1/2,z'
loop_
_atom_site_label
_atom_site_type_symbol
_atom_site_fract_x
_atom_site_fract_y
_atom_site_fract_z
Sr1 Sr 0.196 0.250 0.253
Ho1 Ho 0.323 0.750 0.833
Ag1 Ag 0.083 0.250 0.586
Te1 Te 0.095 0.250 0.871
Te2 Te 0.260 0.750 0.520
Te3 Te 0.433 0.750 0.154
```

Summary:
- magnetization (μB/atom) = 0.00
- ρ (g/cm³) = 6.4
- energy relative to the elements, uncorrected (meV per atom) = -1207.7
- V (Å³/atom) = 32.0

Entry 2:
Crystalline TbHo2Ag at its relaxed geometry, computed with GGA-PBE.

Structure (CIF):
```
data_TbHo2Ag
_chemical_formula_sum 'Tb1 Ho2 Ag1'
_cell_length_a 5.427
_cell_length_b 5.427
_cell_length_c 3.691
_cell_angle_alpha 90.00
_cell_angle_beta 90.00
_cell_angle_gamma 90.00
_symmetry_space_group_name_H-M 'P 4/m m m'
_symmetry_Int_Tables_number 123
_symmetry_space_group_name_Hall '-P 4 2'
loop_
_atom_site_label
_atom_site_type_symbol
_atom_site_fract_x
_atom_site_fract_y
_atom_site_fract_z
Tb1 Tb 0.000 0.000 0.000
Ho1 Ho 0.000 0.500 0.500
Ag1 Ag 0.500 0.500 0.000
```

Summary:
- offset from the most stable computed form (eV per formula unit) = 0.577
- magnetization (μB/atom) = 0.00
- ρ (g/cm³) = 9.1
- V (Å³/atom) = 27.2